A plane-wave DFT calculation with PBE was carried out for a relaxed Pm2CuGeS5 crystal.

Cell lengths 3.9954, 8.8013, 11.1034 Å; angles 90.00, 90.00, 103.12 degrees
With the nearest neighbours (Å) after each atom.
Element x y z (fractional)
1 S 0.4936 0.9871 0.2842  1 Ge 2.51
2 S 0.6397 0.2794 0.4876  1 Cu 2.25
3 S 0.3603 0.7206 0.9876  1 Cu 2.25
4 S 0.6934 0.3867 0.8171  1 Ge 2.42, 1 Cu 2.59
5 S 0.3066 0.6133 0.3171  1 Ge 2.42, 1 Cu 2.59
6 S 0.6938 0.3876 0.1391  2 Cu 2.27
7 S 0.9598 0.9196 0.5585  2 Ge 2.40
8 S 0.0402 0.0804 0.0585  2 Ge 2.40
9 S 0.3062 0.6124 0.6391  2 Cu 2.27
10 S 0.5064 0.0129 0.7842  1 Ge 2.51
11 Ge 0.5915 0.1830 0.9684  5 S 2.40-2.58
12 Ge 0.4085 0.8170 0.4684  5 S 2.40-2.58
13 Cu 0.7488 0.4977 0.6004  3 S 2.25-2.27
14 Cu 0.2512 0.5023 0.1004  3 S 2.25-2.27
15 Pm 0.8884 0.7768 0.1737  7 S 2.90-2.96, 2 Cu 3.19
16 Pm 0.8789 0.7578 0.7948  8 S 2.92-3.19, 1 Cu 3.10
17 Pm 0.1116 0.2232 0.6737  7 S 2.90-2.96, 2 Cu 3.19
18 Pm 0.1211 0.2422 0.2948  8 S 2.92-3.19, 1 Cu 3.10

- magnetic moment (μB/f.u.) = 0.000
- N(E_F) (states/eV per cell) = 3.12
- raw formation energy (eV per formula unit) = -10.88
- volume (Å³/atom) = 21.13

=====

A plane-wave DFT calculation with PBE was carried out for a relaxed KTa2Ir crystal.

Cell lengths 2.8728, 2.8728, 10.4714 Å; angles 90.00, 90.00, 90.03 degrees
With the nearest neighbours (Å) after each atom.
Element x y z (fractional)
1 Ir 0.5000 0.5000 0.2500  8 Ta 2.79, 4 Ir 2.87
2 Ta 0.0000 0.0000 0.0678  4 Ir 2.79, 4 Ta 2.87
3 Ta 0.0000 0.0000 0.4322  4 Ir 2.79, 4 Ta 2.87
4 K 0.5000 0.5000 0.7500  4 K 2.87

- magnetic moment (μB/f.u.) = 0.002
- N(E_F) (states/eV per cell) = 3.59
- relative energy among the computed polymorphs (eV/atom) = 0.110
- volume (Å³/atom) = 21.60
- energy of formation from the pure elements (meV per atom) = 439

=====

Copy entry 2 word for word.
A plane-wave DFT calculation with PBE was carried out for a relaxed KTa2Ir crystal.

Cell lengths 2.8728, 2.8728, 10.4714 Å; angles 90.00, 90.00, 90.03 degrees
With the nearest neighbours (Å) after each atom.
Element x y z (fractional)
1 Ir 0.5000 0.5000 0.2500  8 Ta 2.79, 4 Ir 2.87
2 Ta 0.0000 0.0000 0.0678  4 Ir 2.79, 4 Ta 2.87
3 Ta 0.0000 0.0000 0.4322  4 Ir 2.79, 4 Ta 2.87
4 K 0.5000 0.5000 0.7500  4 K 2.87

- magnetic moment (μB/f.u.) = 0.002
- N(E_F) (states/eV per cell) = 3.59
- relative energy among the computed polymorphs (eV/atom) = 0.110
- volume (Å³/atom) = 21.60
- energy of formation from the pure elements (meV per atom) = 439

=====

> Number 1 is which compound?

Pm2CuGeS5

=====

> Among the records above, which one has the highest magnetic moment?

KTa2Ir